A plane-wave DFT calculation with PBE-GGA was carried out for K2SbPb after structural relaxation.

The structure in POSCAR format:
```
K2SbPb
1.0
12.0841 -0.0017 -0.0010
11.5197 3.6497 -0.0010
11.5197 1.7804 3.1860
K Sb Pb
2 1 1
Direct
0.0051 0.0051 0.0051
0.4949 0.4949 0.4949
0.7500 0.7500 0.7500
0.2500 0.2500 0.2500
```

Crystal system   trigonal
Magnetic moment   0.24 μB per cell
Formation energy from raw total energies   -0.046 eV per atom
Density   4.808 g/cm³
E above lowest polymorph   0.257 eV per atom